1.
LiGaO3: optimized geometry, PBE-GGA.

abc: 3.8143 3.8143 3.8143
angles: 90.00 90.00 90.00
Sites, in units of the cell vectors:
Li: 0.0000 0.0000 0.0000
Ga: 0.5000 0.5000 0.5000
O: 0.0000 0.5000 0.5000
O: 0.5000 0.0000 0.5000
O: 0.5000 0.5000 0.0000

## Properties
**Symmetry**: Pm-3m, No. 221
**Uncorrected formation energy**: -0.938 eV per atom
**Energy**: -4.901 eV per atom
**V**: 11.099 Å³ per atom
**DOS(E_F)**: 0.92 states/eV per atom

2.
K3MgI2O9: optimized geometry, PBE-GGA.

abc: 5.7510 5.7510 7.0416
angles: 90.00 90.00 120.00
Sites, in units of the cell vectors:
K: 0.0000 0.0000 0.0000
K: 0.3333 0.6667 0.6681
K: 0.6667 0.3333 0.3319
Mg: 0.0000 0.0000 0.5000
I: 0.3333 0.6667 0.1808
I: 0.6667 0.3333 0.8192
O: 0.0000 0.5000 0.0000
O: 0.1754 0.3508 0.3223
O: 0.1754 0.8246 0.3223
O: 0.3508 0.1754 0.6777
O: 0.5000 0.0000 0.0000
O: 0.5000 0.5000 0.0000
O: 0.6492 0.8246 0.3223
O: 0.8246 0.1754 0.6777
O: 0.8246 0.6492 0.6777

## Properties
**Symmetry**: P-3m1, No. 164
**Uncorrected formation energy**: -1.088 eV per atom
**Energy**: -4.595 eV per atom
**V**: 13.446 Å³ per atom
**DOS(E_F)**: 0.24 states/eV per atom

3.
RbNp2NiSe4: optimized geometry, PBE-GGA.

abc: 7.5068 7.5068 14.1775
angles: 90.00 90.00 148.31
Sites, in units of the cell vectors:
Rb: 0.1037 0.8963 0.7500
Rb: 0.8963 0.1037 0.2500
Np: 0.3657 0.6343 0.5612
Np: 0.3657 0.6343 0.9388
Np: 0.6343 0.3657 0.0612
Np: 0.6343 0.3657 0.4388
Ni: 0.1670 0.8330 0.2500
Ni: 0.8330 0.1670 0.7500
Se: 0.0000 0.0000 0.0000
Se: 0.0000 0.0000 0.5000
Se: 0.2620 0.7380 0.1117
Se: 0.2620 0.7380 0.3883
Se: 0.4217 0.5783 0.7500
Se: 0.5783 0.4217 0.2500
Se: 0.7380 0.2620 0.6117
Se: 0.7380 0.2620 0.8883

## Properties
**Symmetry**: Cmcm, No. 63
**Uncorrected formation energy**: -1.050 eV per atom
**Energy**: -6.871 eV per atom
**V**: 26.235 Å³ per atom
**DOS(E_F)**: 2.68 states/eV per atom